A plane-wave DFT calculation with GGA-PBEsol was carried out for crystalline ScBe3Ga at its relaxed geometry.

```
data_ScBe3Ga
_chemical_formula_sum 'Sc1 Be3 Ga1'
_space_group_name_H-M_alt 'P m -3 m'
_space_group_IT_number 221
_space_group_name_Hall '-P 4 2 3'
_cell_length_a 4.714
_cell_length_b 4.714
_cell_length_c 4.714
_cell_angle_alpha 90.00
_cell_angle_beta 90.00
_cell_angle_gamma 90.00
loop_
_atom_site_label
_atom_site_fract_x
_atom_site_fract_y
_atom_site_fract_z
Sc1 0.000 0.000 0.000
Be1 0.000 0.000 0.500
Ga1 0.500 0.500 0.500
```

Density of states at the Fermi level   1.105 states/eV per atom
Total magnetic moment   1.1 μB per formula unit
Total energy   -2.60 eV/atom
Formation energy   8.94 eV/f.u.